First-principles (GGA-PBE) data for a geometry-optimized TmTh3Sc3 structure, as listed in the Alexandria database.

The calculation puts the formation energy at 0.055 eV/atom. The energy above the lowest structure with this stoichiometry is 0.0 kJ/mol of atoms.

It has space group R-3 (No. 148, hexagonal axes), with a = 9.0688 Å, b = 9.0688 Å, c = 16.9426 Å, α = 90.00°, β = 90.00° and γ = 120.00°. The inequivalent atoms are Tm at (0.0000, 0.0000, 0.2479), Th at (0.0424, 0.2396, 0.4157) and Sc at (0.0466, 0.2369, 0.9188).